[1]
Density functional theory data (GGA-PBE) for crystalline FeNi3Pd at its relaxed geometry.

As for the total magnetic moment: 5.15 μB per formula unit. As for the energy of formation: 0.967 eV/atom. As for the excess energy over the best structure of this formula in the dataset: 993.5 meV/atom.

The space group is Pm-3m (No. 221) and the conventional cell measures 4.241, 4.241 and 4.241 Å, with angles of 90.00, 90.00 and 90.00 degrees. The distinct sites, in fractional coordinates, are Fe at (0.000, 0.000, 0.000), Ni at (0.000, 0.000, 0.500) and Pd at (0.500, 0.500, 0.500).

=====

[2]
Density functional theory data (GGA-PBE) for crystalline Cs3TbTa2O8 at its relaxed geometry.

As for the total magnetic moment: 0.00 μB per formula unit. The value obtained for the energy is -7.7227 eV per atom.

The space group is P-3m1 (No. 164) and the conventional cell measures 6.3809, 6.3809 and 8.5351 Å, with angles of 90.00, 90.00 and 120.00 degrees. The distinct sites, in fractional coordinates, are Cs at (0.0000, 0.0000, 0.0000), Cs at (0.3333, 0.6667, 0.7266), Tb at (0.0000, 0.0000, 0.5000), Ta at (0.3333, 0.6667, 0.2753), O at (0.1709, 0.3419, 0.3447) and O at (0.3333, 0.6667, 0.0616).

=====

[3]
Density functional theory data (GGA-PBE) for crystalline RbV2CoCu at its relaxed geometry.

As for the total magnetic moment: 4.38 μB per formula unit. As for the energy of formation: 1.011 eV/atom.

The space group is P4/mmm (No. 123) and the conventional cell measures 4.536, 4.536 and 5.003 Å, with angles of 90.00, 90.00 and 90.00 degrees. The distinct sites, in fractional coordinates, are Rb at (0.000, 0.000, 0.000), V at (0.000, 0.500, 0.500), Co at (0.500, 0.500, 0.500) and Cu at (0.500, 0.500, 0.000).

=====

[4]
Density functional theory data (GGA-PBE) for crystalline La2Ge2BOs2 at its relaxed geometry.

As for the total magnetic moment: 0.00 μB per formula unit. As for the energy of formation: -0.612 eV/atom.

The space group is C2/m (No. 12) and the conventional cell measures 11.407, 4.358 and 7.367 Å, with angles of 90.00, 129.44 and 90.00 degrees. The distinct sites, in fractional coordinates, are La at (0.062, 0.000, 0.326), Ge at (0.168, 0.500, 0.114), B at (0.000, 0.500, 0.500) and Os at (0.204, 0.500, 0.813).

=====

[5]
Density functional theory data (GGA-PBE) for crystalline Eu2NiTe at its relaxed geometry.

As for the total magnetic moment: 14.00 μB per formula unit. As for the excess energy over the best structure of this formula in the dataset: 67.2 meV/atom.

The space group is Fm-3m (No. 225) and the conventional cell measures 7.523, 7.523 and 7.523 Å, with angles of 90.00, 90.00 and 90.00 degrees. The distinct sites, in fractional coordinates, are Eu at (0.250, 0.250, 0.250), Ni at (0.000, 0.000, 0.000) and Te at (0.000, 0.000, 0.500).

=====

[6]
Density functional theory data (GGA-PBE) for crystalline TaCd4P at its relaxed geometry.

As for the total magnetic moment: 2.24 μB per formula unit. As for the energy of formation: 0.727 eV/atom.

The space group is F-43m (No. 216) and the conventional cell measures 7.944, 7.944 and 7.944 Å, with angles of 90.00, 90.00 and 90.00 degrees. The distinct sites, in fractional coordinates, are Ta at (0.000, 0.000, 0.000), Cd at (0.125, 0.125, 0.625) and P at (0.250, 0.250, 0.250).